Entry 1:
VASP calculation (PBE-GGA) on a geometry-optimized CdFe2P structure. Values from VASP.

Quantum ESPRESSO input file:
```
&SYSTEM
  ibrav = 0, nat = 4, ntyp = 3
/
ATOMIC_SPECIES
Cd 112.41 Cd.upf
Fe 55.84 Fe.upf
P 30.97 P.upf
CELL_PARAMETERS angstrom
3.9957 -1.5090 0.0000
3.9957 1.5090 0.0000
-0.5453 0.0000 5.1482
ATOMIC_POSITIONS crystal
Cd 0.0000 0.0000 0.0000
Fe 0.2521 0.2521 0.6847
Fe 0.5227 0.5227 0.5120
P 0.7981 0.7981 0.3842
```

The calculation puts the formation energy at 0.141 eV/atom. The volume comes out at 15.5 Å³ per atom. For the density of states at the Fermi level, the calculation gives 2.787 states/eV/cell.

***

Entry 2:
VASP calculation (PBE-GGA) on a geometry-optimized Ho6MgC3 structure. Values from VASP.

Quantum ESPRESSO input file:
```
&SYSTEM
  ibrav = 0, nat = 20, ntyp = 3
/
ATOMIC_SPECIES
Ho 164.93 Ho.upf
Mg 24.30 Mg.upf
C 12.01 C.upf
CELL_PARAMETERS angstrom
11.2450 0.0000 0.0000
0.0000 3.5557 0.0000
-2.1973 0.0000 11.0832
ATOMIC_POSITIONS crystal
Ho 0.0152 0.2500 0.2546
Ho 0.1349 0.7500 0.0324
Ho 0.2600 0.2500 0.8354
Ho 0.3063 0.7500 0.3142
Ho 0.4036 0.2500 0.5732
Ho 0.4483 0.2500 0.1091
Ho 0.5517 0.7500 0.8909
Ho 0.5964 0.7500 0.4268
Ho 0.6937 0.2500 0.6858
Ho 0.7400 0.7500 0.1646
Ho 0.8651 0.2500 0.9676
Ho 0.9848 0.7500 0.7454
Mg 0.1306 0.7500 0.5241
Mg 0.8694 0.2500 0.4759
C 0.0609 0.2500 0.8825
C 0.3567 0.7500 0.9702
C 0.4522 0.2500 0.3597
C 0.5478 0.7500 0.6403
C 0.6433 0.2500 0.0298
C 0.9391 0.7500 0.1175
```

The calculation puts the formation energy at -0.186 eV/atom. The volume comes out at 22.2 Å³ per atom. For the density of states at the Fermi level, the calculation gives 14.844 states/eV/cell.

***

Entry 3:
VASP calculation (PBE-GGA) on a geometry-optimized Ta10Al6B structure. Values from VASP.

Quantum ESPRESSO input file:
```
&SYSTEM
  ibrav = 0, nat = 17, ntyp = 3
/
ATOMIC_SPECIES
Ta 180.95 Ta.upf
Al 26.98 Al.upf
B 10.81 B.upf
CELL_PARAMETERS angstrom
7.8291 0.0000 0.0000
-3.9146 6.7802 0.0000
0.0000 0.0000 5.3001
ATOMIC_POSITIONS crystal
Ta 0.0000 0.2392 0.2608
Ta 0.0000 0.7608 0.7392
Ta 0.2392 0.0000 0.2608
Ta 0.2392 0.2392 0.7392
Ta 0.3333 0.6667 0.0000
Ta 0.3333 0.6667 0.5000
Ta 0.6667 0.3333 0.0000
Ta 0.6667 0.3333 0.5000
Ta 0.7608 0.0000 0.7392
Ta 0.7608 0.7608 0.2608
Al 0.0000 0.4014 0.7546
Al 0.0000 0.5986 0.2454
Al 0.4014 0.0000 0.7546
Al 0.4014 0.4014 0.2454
Al 0.5986 0.0000 0.2454
Al 0.5986 0.5986 0.7546
B 0.0000 0.0000 0.0000
```

The calculation puts the formation energy at -0.297 eV/atom. The volume comes out at 16.5 Å³ per atom. For the density of states at the Fermi level, the calculation gives 11.706 states/eV/cell.

***

Entry 4:
VASP calculation (PBE-GGA) on a geometry-optimized V2CoPt9 structure. Values from VASP.

Quantum ESPRESSO input file:
```
&SYSTEM
  ibrav = 0, nat = 12, ntyp = 3
/
ATOMIC_SPECIES
V 50.94 V.upf
Co 58.93 Co.upf
Pt 195.08 Pt.upf
CELL_PARAMETERS angstrom
3.9063 0.0000 0.0000
0.0000 3.9063 0.0000
0.0000 0.0000 11.7410
ATOMIC_POSITIONS crystal
V 0.0000 0.0000 0.1724
V 0.0000 0.0000 0.8276
Co 0.0000 0.0000 0.5000
Pt 0.0000 0.5000 0.0000
Pt 0.0000 0.5000 0.3319
Pt 0.0000 0.5000 0.6681
Pt 0.5000 0.0000 0.0000
Pt 0.5000 0.0000 0.3319
Pt 0.5000 0.0000 0.6681
Pt 0.5000 0.5000 0.1659
Pt 0.5000 0.5000 0.5000
Pt 0.5000 0.5000 0.8341
```

The calculation puts the formation energy at -0.329 eV/atom. The volume comes out at 14.9 Å³ per atom. For the density of states at the Fermi level, the calculation gives 17.855 states/eV/cell.

***

Entry 5:
VASP calculation (PBE-GGA) on a geometry-optimized TbPm2Pb structure. Values from VASP.

Quantum ESPRESSO input file:
```
&SYSTEM
  ibrav = 0, nat = 4, ntyp = 3
/
ATOMIC_SPECIES
Tb 158.93 Tb.upf
Pm 145.00 Pm.upf
Pb 207.20 Pb.upf
CELL_PARAMETERS angstrom
0.0000 3.9383 3.9383
3.9383 0.0000 3.9383
3.9383 3.9383 0.0000
ATOMIC_POSITIONS crystal
Tb 0.0000 0.0000 0.0000
Pm 0.2500 0.2500 0.2500
Pm 0.7500 0.7500 0.7500
Pb 0.5000 0.5000 0.5000
```

The calculation puts the formation energy at -0.143 eV/atom. The volume comes out at 30.5 Å³ per atom. For the density of states at the Fermi level, the calculation gives 7.963 states/eV/cell.

***

Entry 6:
VASP calculation (PBE-GGA) on a geometry-optimized TaCdSbTe2 structure. Values from VASP.

Quantum ESPRESSO input file:
```
&SYSTEM
  ibrav = 0, nat = 5, ntyp = 4
/
ATOMIC_SPECIES
Ta 180.95 Ta.upf
Cd 112.41 Cd.upf
Sb 121.76 Sb.upf
Te 127.60 Te.upf
CELL_PARAMETERS angstrom
5.3942 0.0000 0.0000
0.0000 5.3942 0.0000
0.0000 0.0000 5.5144
ATOMIC_POSITIONS crystal
Ta 0.0000 0.0000 0.0000
Cd 0.5000 0.5000 0.5000
Sb 0.0000 0.0000 0.5000
Te 0.0000 0.5000 0.0000
Te 0.5000 0.0000 0.0000
```

The volume comes out at 32.1 Å³ per atom. The energy relative to the elements, uncorrected comes out at 0.26 eV per atom. For the density of states at the Fermi level, the calculation gives 3.090 states/eV/cell.

***

Entry 7:
VASP calculation (PBE-GGA) on a geometry-optimized LiMg2Pd4 structure. Values from VASP.

Quantum ESPRESSO input file:
```
&SYSTEM
  ibrav = 0, nat = 7, ntyp = 3
/
ATOMIC_SPECIES
Li 6.94 Li.upf
Mg 24.30 Mg.upf
Pd 106.42 Pd.upf
CELL_PARAMETERS angstrom
-2.1052 2.1052 6.6779
2.1052 -2.1052 6.6779
2.1052 2.1052 -6.6779
ATOMIC_POSITIONS crystal
Li 0.0000 0.0000 0.0000
Mg 0.3657 0.3657 0.0000
Mg 0.6343 0.6343 0.0000
Pd 0.0000 0.5000 0.5000
Pd 0.1727 0.1727 0.0000
Pd 0.5000 0.0000 0.5000
Pd 0.8273 0.8273 0.0000
```

The calculation puts the formation energy at -0.175 eV/atom. The volume comes out at 16.9 Å³ per atom. For the density of states at the Fermi level, the calculation gives 1.776 states/eV/cell.

***

Entry 8:
VASP calculation (PBE-GGA) on a geometry-optimized Ac2TiAs3Rh12 structure. Values from VASP.

Quantum ESPRESSO input file:
```
&SYSTEM
  ibrav = 0, nat = 18, ntyp = 4
/
ATOMIC_SPECIES
Ac 227.00 Ac.upf
Ti 47.87 Ti.upf
As 74.92 As.upf
Rh 102.91 Rh.upf
CELL_PARAMETERS angstrom
4.1218 2.3797 6.0200
-4.1218 2.3797 6.0200
0.0000 -4.7595 6.0200
ATOMIC_POSITIONS crystal
Ac 0.1113 0.1113 0.1113
Ac 0.8887 0.8887 0.8887
Ti 0.5000 0.5000 0.5000
As 0.0000 0.5000 0.5000
As 0.5000 0.0000 0.5000
As 0.5000 0.5000 0.0000
Rh 0.1329 0.6304 0.6304
Rh 0.1422 0.1422 0.6032
Rh 0.1422 0.6032 0.1422
Rh 0.3696 0.3696 0.8671
Rh 0.3696 0.8671 0.3696
Rh 0.3968 0.8578 0.8578
Rh 0.6032 0.1422 0.1422
Rh 0.6304 0.1329 0.6304
Rh 0.6304 0.6304 0.1329
Rh 0.8578 0.3968 0.8578
Rh 0.8578 0.8578 0.3968
Rh 0.8671 0.3696 0.3696
```

The calculation puts the formation energy at -0.108 eV/atom. The volume comes out at 19.7 Å³ per atom. For the density of states at the Fermi level, the calculation gives 9.766 states/eV/cell.

***

Entry 9:
VASP calculation (PBE-GGA) on a geometry-optimized Sc7Pb3C2 structure. Values from VASP.

Quantum ESPRESSO input file:
```
&SYSTEM
  ibrav = 0, nat = 12, ntyp = 3
/
ATOMIC_SPECIES
Sc 44.96 Sc.upf
Pb 207.20 Pb.upf
C 12.01 C.upf
CELL_PARAMETERS angstrom
2.2867 -11.7388 0.0000
2.2867 11.7388 0.0000
0.0000 0.0000 4.5072
ATOMIC_POSITIONS crystal
Sc 0.0000 0.0000 0.0000
Sc 0.0963 0.9037 0.5000
Sc 0.1955 0.8045 0.0000
Sc 0.4019 0.5981 0.0000
Sc 0.5981 0.4019 0.0000
Sc 0.8045 0.1955 0.0000
Sc 0.9037 0.0963 0.5000
Pb 0.3094 0.6906 0.5000
Pb 0.5000 0.5000 0.5000
Pb 0.6906 0.3094 0.5000
C 0.0979 0.9021 0.0000
C 0.9021 0.0979 0.0000
```

The calculation puts the formation energy at -0.608 eV/atom. The volume comes out at 20.2 Å³ per atom. For the density of states at the Fermi level, the calculation gives 5.661 states/eV/cell.

***

Entry 10:
VASP calculation (PBE-GGA) on a geometry-optimized LiFe2Cl2 structure. Values from VASP.

Quantum ESPRESSO input file:
```
&SYSTEM
  ibrav = 0, nat = 10, ntyp = 3
/
ATOMIC_SPECIES
Li 6.94 Li.upf
Fe 55.84 Fe.upf
Cl 35.45 Cl.upf
CELL_PARAMETERS angstrom
7.9297 0.0000 0.0000
0.0000 7.9297 0.0000
0.0000 0.0000 3.2554
ATOMIC_POSITIONS crystal
Li 0.0000 0.0000 0.0000
Li 0.5000 0.5000 0.0000
Fe 0.0993 0.4007 0.0000
Fe 0.4007 0.9007 0.0000
Fe 0.5993 0.0993 0.0000
Fe 0.9007 0.5993 0.0000
Cl 0.2497 0.2503 0.5000
Cl 0.2503 0.7503 0.5000
Cl 0.7497 0.2497 0.5000
Cl 0.7503 0.7497 0.5000
```

The volume comes out at 20.5 Å³ per atom. The energy relative to the elements, uncorrected comes out at 0.15 eV per atom. For the density of states at the Fermi level, the calculation gives 15.706 states/eV/cell.

***

Entry 11:
VASP calculation (PBE-GGA) on a geometry-optimized LiBeSb2 structure. Values from VASP.

Quantum ESPRESSO input file:
```
&SYSTEM
  ibrav = 0, nat = 8, ntyp = 3
/
ATOMIC_SPECIES
Li 6.94 Li.upf
Be 9.01 Be.upf
Sb 121.76 Sb.upf
CELL_PARAMETERS angstrom
-2.5517 2.5517 7.6907
2.5517 -2.5517 7.6907
2.5517 2.5517 -7.6907
ATOMIC_POSITIONS crystal
Li 0.0000 0.0000 0.0000
Li 0.7500 0.2500 0.5000
Be 0.2500 0.7500 0.5000
Be 0.5000 0.5000 0.0000
Sb 0.2124 0.6250 0.0874
Sb 0.3750 0.4624 0.5874
Sb 0.5376 0.1250 0.9126
Sb 0.8750 0.7876 0.4126
```

The volume comes out at 25.0 Å³ per atom. The energy relative to the elements, uncorrected comes out at 0.06 eV per atom. For the density of states at the Fermi level, the calculation gives 2.379 states/eV/cell.

***

Entry 12:
VASP calculation (PBE-GGA) on a geometry-optimized CaTlSe2 structure. Values from VASP.

Quantum ESPRESSO input file:
```
&SYSTEM
  ibrav = 0, nat = 4, ntyp = 3
/
ATOMIC_SPECIES
Ca 40.08 Ca.upf
Tl 204.38 Tl.upf
Se 78.96 Se.upf
CELL_PARAMETERS angstrom
3.6576 -3.6657 0.0000
3.6576 3.6657 0.0000
0.0000 0.0000 3.7400
ATOMIC_POSITIONS crystal
Ca 0.0000 0.0000 0.0000
Tl 0.5000 0.5000 0.0000
Se 0.0000 0.5000 0.5000
Se 0.5000 0.0000 0.5000
```

The volume comes out at 25.1 Å³ per atom. The energy relative to the elements, uncorrected comes out at -0.89 eV per atom. For the density of states at the Fermi level, the calculation gives 2.763 states/eV/cell.